A plane-wave DFT calculation with PBE+U was carried out for a relaxed CoTeRh2O8 crystal.

a b c (Å): 4.6371 4.6060 6.2417
angles (deg): 90.00 90.00 90.22
Last column: nearest neighbours and their distance in Å.
Atoms (fractional coordinates):
Co 0.0000 0.0000 0.5000  6 O 2.00-2.01
O 0.1863 0.8049 0.2470  1 Te 1.98, 1 Co 2.01, 1 Rh 2.03
O 0.8137 0.1951 0.2470  1 Te 1.98, 1 Co 2.01, 1 Rh 2.03
O 0.1863 0.8049 0.7530  1 Te 1.98, 1 Co 2.01, 1 Rh 2.03
O 0.6899 0.7006 0.0000  1 Te 1.99, 2 Rh 2.04
O 0.6896 0.6971 0.5000  2 Rh 1.98, 1 Co 2.00
O 0.3104 0.3029 0.5000  2 Rh 1.98, 1 Co 2.00
O 0.8137 0.1951 0.7530  1 Te 1.98, 1 Co 2.01, 1 Rh 2.03
O 0.3101 0.2994 0.0000  1 Te 1.99, 2 Rh 2.04
Te 0.0000 0.0000 0.0000  6 O 1.98-1.99
Rh 0.5000 0.5000 0.7445  6 O 1.98-2.04
Rh 0.5000 0.5000 0.2555  6 O 1.98-2.04

Summary:
size of the total moment: 4.83 μB/cell
calculated volume: 11.1 A^3/atom
DFT total energy: -6.053 eV per atom
calculated density: 6.5 g/cm3
space-group type: P2/m (10)